No. 1
DFT (PBE-GGA) results for a relaxed Mg4AsRh crystal.

DFT total energy: -17.63 eV per cell

a = 5.4552 Å, b = 5.4552 Å, c = 5.4552 Å
α = 60.00°, β = 60.00°, γ = 60.00°
Last column: nearest neighbours and their distance in Å.
Fractional positions:
Mg 0.1242 0.1242 0.1242  6 Mg 2.71-2.75
Mg 0.1242 0.1242 0.6275  6 Mg 2.71-2.75
Mg 0.1242 0.6275 0.1242  6 Mg 2.71-2.75
Mg 0.6275 0.1242 0.1242  6 Mg 2.71-2.75
As 0.5000 0.5000 0.5000  12 Mg 3.20, 4 Rh 3.34
Rh 0.7500 0.7500 0.7500  12 Mg 3.20, 4 As 3.34

---

No. 2
DFT (PBE-GGA) results for a relaxed MgAsRh2 crystal.

DFT total energy: -22.90 eV per cell

a = 4.1617 Å, b = 4.1617 Å, c = 3.3874 Å
α = 90.00°, β = 90.00°, γ = 90.00°
Last column: nearest neighbours and their distance in Å.
Fractional positions:
Mg 0.0000 0.0000 0.0000  8 Rh 2.68, 4 As 2.94
As 0.5000 0.5000 0.0000  8 Rh 2.68, 4 Mg 2.94
Rh 0.0000 0.5000 0.5000  4 As 2.68, 4 Mg 2.68, 4 Rh 2.94
Rh 0.5000 0.0000 0.5000  4 As 2.68, 4 Mg 2.68, 4 Rh 2.94

---

No. 3
DFT (PBE-GGA) results for a relaxed MgAs2Rh crystal.

DFT total energy: -72.96 eV per cell

a = 6.4829 Å, b = 6.4829 Å, c = 6.4829 Å
α = 90.00°, β = 90.00°, γ = 90.00°
Last column: nearest neighbours and their distance in Å.
Fractional positions:
Mg 0.0000 0.0000 0.0000  4 Rh 2.81, 4 As 2.81
Mg 0.0000 0.5000 0.5000  4 Rh 2.81, 4 As 2.81
Mg 0.5000 0.0000 0.5000  4 Rh 2.81, 4 As 2.81
Mg 0.5000 0.5000 0.0000  4 Rh 2.81, 4 As 2.81
As 0.0000 0.0000 0.5000  4 As 2.81, 4 Rh 2.81
As 0.0000 0.5000 0.0000  4 As 2.81, 4 Rh 2.81
As 0.2500 0.2500 0.7500  4 As 2.81, 4 Mg 2.81
As 0.2500 0.7500 0.2500  4 As 2.81, 4 Mg 2.81
As 0.5000 0.0000 0.0000  4 As 2.81, 4 Rh 2.81
As 0.5000 0.5000 0.5000  4 As 2.81, 4 Rh 2.81
As 0.7500 0.2500 0.2500  4 As 2.81, 4 Mg 2.81
As 0.7500 0.7500 0.7500  4 As 2.81, 4 Mg 2.81
Rh 0.2500 0.2500 0.2500  4 As 2.81, 4 Mg 2.81
Rh 0.2500 0.7500 0.7500  4 As 2.81, 4 Mg 2.81
Rh 0.7500 0.2500 0.7500  4 As 2.81, 4 Mg 2.81
Rh 0.7500 0.7500 0.2500  4 As 2.81, 4 Mg 2.81

---

No. 4
DFT (PBE-GGA) results for a relaxed MgAsRh2 crystal.

DFT total energy: -45.37 eV per cell

a = 9.2420 Å, b = 3.0487 Å, c = 4.4115 Å
α = 90.00°, β = 105.48°, γ = 90.00°
Last column: nearest neighbours and their distance in Å.
Fractional positions:
Mg 0.0000 0.0000 0.0000  7 Rh 2.57-2.71
Mg 0.5000 0.5000 0.0000  7 Rh 2.57-2.71
As 0.2588 0.5000 0.3744  7 Rh 2.54-2.69
As 0.7588 0.0000 0.3744  7 Rh 2.54-2.69
Rh 0.2553 0.0000 0.8722  3 Mg 2.57-2.66, 4 As 2.68
Rh 0.4869 0.0000 0.4861  3 As 2.54-2.69, 4 Mg 2.66-2.71
Rh 0.7553 0.5000 0.8722  3 Mg 2.57-2.66, 4 As 2.68
Rh 0.9869 0.5000 0.4861  3 As 2.54-2.69, 4 Mg 2.66-2.71